! K2CrRe | Alexandria | GGA-PBE | optimized geometry; values from VASP
! * symmetry: No. 123
! * spin magnetization: 1.077 μB/atom
! * total DFT energy (no corrections): -4.505 eV per atom
&SYSTEM
  ibrav = 0, nat = 4, ntyp = 3
/
ATOMIC_SPECIES
K 39.10 K.upf
Cr 52.00 Cr.upf
Re 186.21 Re.upf
ATOMIC_POSITIONS angstrom
K 0.0000 0.0000 2.8073
K 0.0000 0.0000 9.0952
Cr 1.4089 1.4089 5.9513
Re 1.4089 1.4089 0.0000
CELL_PARAMETERS angstrom
2.8179 0.0000 0.0000
0.0000 2.8179 0.0000
0.0000 0.0000 11.9025